An optimized crystal structure of Cs2NiSF6. Source: the Alexandria database, functional PBE with a Hubbard U.

- Fermi-level density of states (states/eV/cell) = 0.00
- density (g cm⁻³) = 4.25
- magnetization (μB/cell) = 2.00
- E (eV/atom) = -4.007

Lattice parameters (Å, degrees): 5.757 5.757 6.883 65.28 65.28 90.00
Fractional coordinates of all 10 atoms:
F: 0.737 0.737 0.000
F: 0.263 0.737 0.000
F: 0.737 0.263 0.000
F: 0.827 0.827 0.346
F: 0.263 0.263 0.000
F: 0.173 0.173 0.654
Ni: 0.000 0.000 0.000
S: 0.500 0.500 0.000
Cs: 0.250 0.750 0.500
Cs: 0.750 0.250 0.500